No. 1
SmHoSc2As2: optimized geometry, PBE.

Cell lengths 8.3449, 8.3449, 8.3449 Å; angles 151.07, 151.07, 41.38 degrees
Last column: magnetic moment on the atom in μB.
Fractional positions:
As 0.1276 0.1276 0.0000  0.00
As 0.8721 0.8721 0.0000  -0.01
Ho 0.6768 0.6768 0.0000  0.03
Sc 0.5008 0.0008 0.5000  0.31
Sc 0.0008 0.5008 0.5000  0.29
Sm 0.3219 0.3219 0.0000  0.01

Calculated values
Uncorrected energy: -6.21 eV/atom
Total moment: 0.88 Bohr magnetons per cell
Theoretical density: 6.79 g/cm3


No. 2
Ho3As2Se: optimized geometry, PBE.

Cell lengths 4.0846, 4.0846, 10.0086 Å; angles 90.00, 90.00, 120.00 degrees
Fractional positions:
As 0.6667 0.3333 0.1670
As 0.3333 0.6667 0.8330
Ho 0.0000 0.0000 0.0000
Ho 0.3333 0.6667 0.3220
Ho 0.6667 0.3333 0.6780
Se 0.0000 0.0000 0.5000

Calculated values
Energy above the lowest structure with this stoichiometry: 0.0082 eV/atom
Uncorrected energy: -6.07 eV/atom
Total moment: 0.00 Bohr magnetons per cell
Theoretical density: 8.31 g/cm3


No. 3
Ho4AsSe3: optimized geometry, PBE.

Cell lengths 5.7366, 5.7366, 5.7366 Å; angles 90.00, 90.00, 90.00 degrees
Fractional positions:
As 0.0000 0.0000 0.0000
Ho 0.5000 0.0000 0.0000
Ho 0.0000 0.5000 0.0000
Ho 0.0000 0.0000 0.5000
Ho 0.5000 0.5000 0.5000
Se 0.5000 0.5000 0.0000
Se 0.5000 0.0000 0.5000
Se 0.0000 0.5000 0.5000

Calculated values
Uncorrected energy: -5.89 eV/atom
Total moment: 0.00 Bohr magnetons per cell
Theoretical density: 8.55 g/cm3


No. 4
HoAsSe: optimized geometry, PBE.

Cell lengths 3.8920, 17.4261, 5.5213 Å; angles 90.00, 134.78, 90.00 degrees
Fractional positions:
As 0.4687 0.4987 0.2184
As 0.5313 0.9987 0.2816
As 0.4687 0.0013 0.7184
As 0.5313 0.5013 0.7816
Ho 0.9896 0.1394 0.2396
Ho 0.0104 0.6394 0.2604
Ho 0.9896 0.3606 0.7396
Ho 0.0104 0.8606 0.7604
Se 0.9919 0.3122 0.2419
Se 0.0081 0.8122 0.2581
Se 0.9919 0.1878 0.7419
Se 0.0081 0.6878 0.7581

Calculated values
Uncorrected energy: -5.67 eV/atom
Total moment: 0.00 Bohr magnetons per cell
Theoretical density: 7.97 g/cm3


No. 5
Ho3As2Se: optimized geometry, PBE.

Cell lengths 7.0652, 7.0652, 7.0652 Å; angles 146.40, 131.86, 59.99 degrees
Fractional positions:
As 0.3349 0.3349 0.0000
As 0.6651 0.6651 0.0000
Ho 0.5000 0.0000 0.5000
Ho 0.8273 0.3273 0.5000
Ho 0.1727 0.6727 0.5000
Se 0.0000 0.0000 0.0000

Calculated values
Energy above the lowest structure with this stoichiometry: 0.0000 eV/atom
Uncorrected energy: -6.08 eV/atom
Total moment: 0.00 Bohr magnetons per cell
Theoretical density: 8.34 g/cm3


No. 6
SmHoAs: optimized geometry, PBE.

Cell lengths 4.8567, 4.8567, 4.8567 Å; angles 60.00, 60.00, 60.00 degrees
Fractional positions:
As 0.0000 0.0000 0.0000
Ho 0.2500 0.2500 0.2500
Sm 0.7500 0.7500 0.7500

Calculated values
Uncorrected energy: -5.42 eV/atom
Total moment: 0.01 Bohr magnetons per cell
Theoretical density: 8.00 g/cm3


No. 7
SmHo2As3: optimized geometry, PBE.

Cell lengths 4.1340, 4.1340, 10.1200 Å; angles 90.00, 90.00, 120.00 degrees
Fractional positions:
As 0.0000 0.0000 0.0000
As 0.3333 0.6667 0.3271
As 0.6667 0.3333 0.6729
Ho 0.6667 0.3333 0.1638
Ho 0.3333 0.6667 0.8362
Sm 0.0000 0.0000 0.5000

Calculated values
Uncorrected energy: -6.16 eV/atom
Total moment: 0.00 Bohr magnetons per cell
Theoretical density: 7.82 g/cm3


No. 8
Sm2HoAs3: optimized geometry, PBE.

Cell lengths 4.1737, 4.1737, 10.2136 Å; angles 90.00, 90.00, 120.00 degrees
Fractional positions:
As 0.0000 0.0000 0.0000
As 0.3333 0.6667 0.3395
As 0.6667 0.3333 0.6605
Ho 0.0000 0.0000 0.5000
Sm 0.6667 0.3333 0.1696
Sm 0.3333 0.6667 0.8304

Calculated values
Uncorrected energy: -6.19 eV/atom
Total moment: 0.00 Bohr magnetons per cell
Theoretical density: 7.44 g/cm3


No. 9
SmHoTe2As2: optimized geometry, PBE.

Cell lengths 4.0984, 4.0984, 9.1422 Å; angles 90.00, 90.00, 90.00 degrees
Fractional positions:
As 0.5000 0.0000 0.0041
As 0.0000 0.5000 0.0041
Ho 0.0000 0.0000 0.2540
Sm 0.5000 0.5000 0.7465
Te 0.5000 0.5000 0.3708
Te 0.0000 0.0000 0.6206

Calculated values
Uncorrected energy: -5.30 eV/atom
Total moment: 0.00 Bohr magnetons per cell
Theoretical density: 7.79 g/cm3


No. 10
SmHoZr2As2: optimized geometry, PBE.

Cell lengths 8.5181, 8.5181, 8.5181 Å; angles 152.05, 152.05, 39.94 degrees
Fractional positions:
As 0.1313 0.1313 0.0000
As 0.8694 0.8694 0.0000
Ho 0.6765 0.6765 0.0000
Sm 0.3214 0.3214 0.0000
Zr 0.5007 0.0007 0.5000
Zr 0.0007 0.5007 0.5000

Calculated values
Uncorrected energy: -6.94 eV/atom
Total moment: 0.02 Bohr magnetons per cell
Theoretical density: 7.93 g/cm3


No. 11
HoTaAs: optimized geometry, PBE.

Cell lengths 4.5358, 4.5358, 4.5358 Å; angles 60.00, 60.00, 60.00 degrees
Fractional positions:
As 0.0000 0.0000 0.0000
Ho 0.2500 0.2500 0.2500
Ta 0.7500 0.7500 0.7500

Calculated values
Uncorrected energy: -7.13 eV/atom
Total moment: 0.14 Bohr magnetons per cell
Theoretical density: 10.59 g/cm3


No. 12
HoTaAs: optimized geometry, PBE.

Cell lengths 4.8033, 4.8033, 4.8033 Å; angles 60.00, 60.00, 60.00 degrees
Fractional positions:
As 0.2500 0.2500 0.2500
Ho 0.0000 0.0000 0.0000
Ta 0.7500 0.7500 0.7500

Calculated values
Uncorrected energy: -6.12 eV/atom
Total moment: 2.99 Bohr magnetons per cell
Theoretical density: 8.92 g/cm3


No. 13
TbHo2As3: optimized geometry, PBE.

Cell lengths 4.1087, 4.1087, 10.0565 Å; angles 90.00, 90.00, 120.00 degrees
Fractional positions:
As 0.0000 0.0000 0.0000
As 0.3333 0.6667 0.3314
As 0.6667 0.3333 0.6686
Ho 0.6667 0.3333 0.1659
Ho 0.3333 0.6667 0.8341
Tb 0.0000 0.0000 0.5000

Calculated values
Uncorrected energy: -6.16 eV/atom
Total moment: 0.00 Bohr magnetons per cell
Theoretical density: 8.06 g/cm3


No. 14
TbHoAs: optimized geometry, PBE.

Cell lengths 4.8121, 4.8121, 4.8121 Å; angles 60.00, 60.00, 60.00 degrees
Fractional positions:
As 0.0000 0.0000 0.0000
Ho 0.2500 0.2500 0.2500
Tb 0.7500 0.7500 0.7500

Calculated values
Uncorrected energy: -5.37 eV/atom
Total moment: 0.03 Bohr magnetons per cell
Theoretical density: 8.40 g/cm3


No. 15
HoTlAs: optimized geometry, PBE.

Cell lengths 4.9586, 4.9586, 4.9586 Å; angles 60.00, 60.00, 60.00 degrees
Fractional positions:
As 0.2500 0.2500 0.2500
Ho 0.7500 0.7500 0.7500
Tl 0.0000 0.0000 0.0000

Calculated values
Uncorrected energy: -3.89 eV/atom
Total moment: 0.00 Bohr magnetons per cell
Theoretical density: 8.56 g/cm3


No. 16
HoTm3As4: optimized geometry, PBE.

Cell lengths 7.0441, 7.0441, 4.0682 Å; angles 90.00, 90.00, 109.47 degrees
Fractional positions:
As 0.7492 0.2508 0.0000
As 0.2508 0.7492 0.0000
As 0.2516 0.2516 0.5000
As 0.7484 0.7484 0.5000
Ho 0.0000 0.0000 0.0000
Tm 0.5000 0.5000 0.0000
Tm 0.5000 0.0000 0.5000
Tm 0.0000 0.5000 0.5000

Calculated values
Uncorrected energy: -6.08 eV/atom
Total moment: 0.00 Bohr magnetons per cell
Theoretical density: 8.48 g/cm3


No. 17
Ho3TmAs4: optimized geometry, PBE.

Cell lengths 7.0744, 7.0744, 4.0858 Å; angles 90.00, 90.00, 109.47 degrees
Fractional positions:
As 0.2484 0.2484 0.0000
As 0.7516 0.7516 0.0000
As 0.7508 0.2492 0.5000
As 0.2492 0.7508 0.5000
Ho 0.5000 0.0000 0.0000
Ho 0.0000 0.5000 0.0000
Ho 0.5000 0.5000 0.5000
Tm 0.0000 0.0000 0.5000

Calculated values
Uncorrected energy: -6.12 eV/atom
Total moment: 0.00 Bohr magnetons per cell
Theoretical density: 8.30 g/cm3


No. 18
HoTm2As3: optimized geometry, PBE.

Cell lengths 4.0714, 4.0714, 9.9564 Å; angles 90.00, 90.00, 120.00 degrees
Fractional positions:
As 0.0000 0.0000 0.0000
As 0.3333 0.6667 0.3314
As 0.6667 0.3333 0.6686
Ho 0.0000 0.0000 0.5000
Tm 0.6667 0.3333 0.1662
Tm 0.3333 0.6667 0.8338

Calculated values
Uncorrected energy: -6.09 eV/atom
Total moment: 0.01 Bohr magnetons per cell
Theoretical density: 8.45 g/cm3


No. 19
HoTmZr2As2: optimized geometry, PBE.

Cell lengths 8.4059, 8.4059, 8.4059 Å; angles 151.98, 151.98, 40.04 degrees
Fractional positions:
As 0.1344 0.1344 0.0000
As 0.8657 0.8657 0.0000
Ho 0.3217 0.3217 0.0000
Tm 0.6777 0.6777 0.0000
Zr 0.5002 0.0002 0.5000
Zr 0.0002 0.5002 0.5000

Calculated values
Uncorrected energy: -6.89 eV/atom
Total moment: 0.03 Bohr magnetons per cell
Theoretical density: 8.46 g/cm3


No. 20
HoAsW: optimized geometry, PBE.

Cell lengths 4.4749, 4.4749, 4.4749 Å; angles 60.00, 60.00, 60.00 degrees
Fractional positions:
As 0.0000 0.0000 0.0000
Ho 0.2500 0.2500 0.2500
W 0.7500 0.7500 0.7500

Calculated values
Uncorrected energy: -7.23 eV/atom
Total moment: 0.01 Bohr magnetons per cell
Theoretical density: 11.10 g/cm3


No. 21
YHo2As3: optimized geometry, PBE.

Cell lengths 4.1050, 4.1050, 10.0607 Å; angles 90.00, 90.00, 120.00 degrees
Fractional positions:
As 0.0000 0.0000 0.0000
As 0.3333 0.6667 0.3323
As 0.6667 0.3333 0.6677
Ho 0.6667 0.3333 0.1665
Ho 0.3333 0.6667 0.8335
Y 0.0000 0.0000 0.5000

Calculated values
Uncorrected energy: -6.47 eV/atom
Total moment: 0.00 Bohr magnetons per cell
Theoretical density: 7.28 g/cm3


No. 22
Y2HoAs3: optimized geometry, PBE.

Cell lengths 4.1135, 4.1135, 10.0821 Å; angles 90.00, 90.00, 120.00 degrees
Fractional positions:
As 0.0000 0.0000 0.0000
As 0.3333 0.6667 0.3343
As 0.6667 0.3333 0.6657
Ho 0.0000 0.0000 0.5000
Y 0.6667 0.3333 0.1668
Y 0.3333 0.6667 0.8332

Calculated values
Uncorrected energy: -6.79 eV/atom
Total moment: 0.00 Bohr magnetons per cell
Theoretical density: 6.38 g/cm3


No. 23
YHoZr2As2: optimized geometry, PBE.

Cell lengths 8.4539, 8.4539, 8.4539 Å; angles 152.04, 152.04, 39.95 degrees
Fractional positions:
As 0.1331 0.1331 0.0000
As 0.8671 0.8671 0.0000
Ho 0.6777 0.6777 0.0000
Y 0.3218 0.3218 0.0000
Zr 0.5002 0.0002 0.5000
Zr 0.0002 0.5002 0.5000

Calculated values
Uncorrected energy: -7.24 eV/atom
Total moment: 0.03 Bohr magnetons per cell
Theoretical density: 7.34 g/cm3


No. 24
HoZrAs: optimized geometry, PBE.

Cell lengths 4.6490, 4.6490, 4.6490 Å; angles 60.00, 60.00, 60.00 degrees
Fractional positions:
As 0.0000 0.0000 0.0000
Ho 0.2500 0.2500 0.2500
Zr 0.7500 0.7500 0.7500

Calculated values
Uncorrected energy: -6.52 eV/atom
Total moment: 0.59 Bohr magnetons per cell
Theoretical density: 7.74 g/cm3


No. 25
HoZr2As3: optimized geometry, PBE.

Cell lengths 3.9479, 3.9479, 9.5987 Å; angles 90.00, 90.00, 120.00 degrees
Fractional positions:
As 0.0000 0.0000 0.0000
As 0.3333 0.6667 0.3217
As 0.6667 0.3333 0.6783
Ho 0.0000 0.0000 0.5000
Zr 0.6667 0.3333 0.1545
Zr 0.3333 0.6667 0.8455

Calculated values
Uncorrected energy: -7.18 eV/atom
Total moment: 0.00 Bohr magnetons per cell
Theoretical density: 7.33 g/cm3


No. 26
Ho2ZrAs3: optimized geometry, PBE.

Cell lengths 4.0032, 4.0032, 9.8815 Å; angles 90.00, 90.00, 120.00 degrees
Fractional positions:
As 0.0000 0.0000 0.0000
As 0.3333 0.6667 0.3433
As 0.6667 0.3333 0.6567
Ho 0.6667 0.3333 0.1713
Ho 0.3333 0.6667 0.8287
Zr 0.0000 0.0000 0.5000

Calculated values
Uncorrected energy: -6.67 eV/atom
Total moment: 0.00 Bohr magnetons per cell
Theoretical density: 7.82 g/cm3


No. 27
AsIrI6: optimized geometry, PBE.

Cell lengths 7.5401, 7.5401, 7.5401 Å; angles 60.00, 60.00, 60.00 degrees
Last column: magnetic moment on the atom in μB.
Fractional positions:
As 0.5000 0.5000 0.5000  -0.56
I 0.4977 0.0023 0.0023  0.06
I 0.0023 0.4977 0.0023  0.04
I 0.4977 0.4977 0.0023  0.07
I 0.0023 0.4977 0.4977  0.04
I 0.4977 0.0023 0.4977  0.05
I 0.0023 0.0023 0.4977  0.03
Ir 0.2500 0.2500 0.2500  0.19

Calculated values
Uncorrected energy: -2.52 eV/atom
Total moment: 0.62 Bohr magnetons per cell
Theoretical density: 5.63 g/cm3


No. 28
LaNdAsI: optimized geometry, PBE.

Cell lengths 4.3052, 4.3052, 15.6748 Å; angles 90.00, 90.00, 120.00 degrees
Fractional positions:
As 0.0000 0.0000 0.0000
As 0.0000 0.0000 0.5000
I 0.3333 0.6667 0.2440
I 0.6667 0.3333 0.7560
La 0.6667 0.3333 0.3963
La 0.3333 0.6667 0.6037
Nd 0.6667 0.3333 0.0976
Nd 0.3333 0.6667 0.9024

Calculated values
Uncorrected energy: -5.35 eV/atom
Total moment: 0.01 Bohr magnetons per cell
Theoretical density: 6.40 g/cm3